(1)
{"formula": "LaHoS", "functional": "PBE", "state": "optimized geometry", "cell": [[-2.922, 1.267, -2.177], [-0.861, -5.077, -1.800], [-5.055, -1.283, 6.037]], "species": ["S", "S", "Ho", "Ho", "La", "La"], "frac_coords": [[0.500, 0.000, 0.613], [0.000, 0.500, 0.387], [0.000, 0.000, 0.377], [0.500, 0.500, 0.623], [0.500, 0.500, 0.110], [0.000, 0.000, 0.890]], "raw_formation_energy_kj_per_mol_fu": -370, "total_magnetization_mub_per_cell": 0.00}

***

(2)
{"formula": "LaHoS", "functional": "PBE", "state": "optimized geometry", "cell": [[-3.392, 5.225, -2.218], [-2.756, -0.661, 2.658], [3.005, 2.312, 0.851]], "species": ["S", "Ho", "La"], "frac_coords": [[0.319, 0.333, 0.667], [0.084, 0.000, 0.000], [0.597, 0.667, 0.333]], "raw_formation_energy_kj_per_mol_fu": -363, "total_magnetization_mub_per_cell": 0.03}